1.
Entry from Alexandria: TaSi2Cl after structural relaxation (GGA-PBE).

Unit cell a=4.931 b=4.931 c=2.786 alpha=90.00 beta=90.00 gamma=90.00
Element x y z (fractional)
Si: 0.000 0.000 0.000
Si: 0.500 0.500 0.000
Cl: 0.000 0.500 0.500
Ta: 0.500 0.000 0.500

theoretical density: 6.7 g/cm³
uncorrected formation energy: 0.31 eV per atom
space-group type: P4/mmm (123)
DOS(E_F): 0.658 states/eV/atom

***

2.
Entry from Alexandria: TaSi2Cl after structural relaxation (GGA-PBE).

Unit cell a=5.144 b=5.144 c=4.605 alpha=80.77 beta=80.77 gamma=33.93
Element x y z (fractional)
Si: 0.022 0.022 0.954
Cl: 0.250 0.250 0.250
Ta: 0.750 0.750 0.750
Si: 0.478 0.478 0.546

theoretical density: 6.8 g/cm³
uncorrected formation energy: 0.29 eV per atom
space-group type: C2/m (12)
DOS(E_F): 0.516 states/eV/atom

***

3.
Entry from Alexandria: TaSiCl after structural relaxation (GGA-PBE).

Unit cell a=4.424 b=4.424 c=4.424 alpha=60.00 beta=60.00 gamma=60.00
Element x y z (fractional)
Cl: 0.000 0.000 0.000
Si: 0.500 0.500 0.500
Ta: 0.750 0.750 0.750

theoretical density: 6.6 g/cm³
uncorrected formation energy: 0.53 eV per atom
space-group type: F-43m (216)
DOS(E_F): 0.742 states/eV/atom

***

4.
Entry from Alexandria: TaSi2Cl after structural relaxation (GGA-PBE).

Unit cell a=4.571 b=4.571 c=4.571 alpha=60.00 beta=60.00 gamma=60.00
Element x y z (fractional)
Si: 0.750 0.750 0.750
Ta: 0.500 0.500 0.500
Si: 0.250 0.250 0.250
Cl: 0.000 0.000 0.000

theoretical density: 6.7 g/cm³
uncorrected formation energy: 0.76 eV per atom
space-group type: Fm-3m (225)
DOS(E_F): 0.928 states/eV/atom

***

5.
Entry from Alexandria: TaSi2Cl after structural relaxation (GGA-PBE).

Unit cell a=5.016 b=3.569 c=3.569 alpha=90.00 beta=90.00 gamma=90.00
Element x y z (fractional)
Ta: 0.500 0.500 0.000
Si: 0.000 0.500 0.500
Cl: 0.500 0.000 0.500
Si: 0.000 0.000 0.000

theoretical density: 7.1 g/cm³
uncorrected formation energy: 0.49 eV per atom
space-group type: P4/mmm (123)
DOS(E_F): 0.923 states/eV/atom

***

6.
Entry from Alexandria: TaSi2Cl after structural relaxation (GGA-PBE).

Unit cell a=5.337 b=5.337 c=5.337 alpha=144.16 beta=132.81 gamma=60.65
Element x y z (fractional)
Ta: 0.750 0.250 0.500
Si: 0.516 0.516 0.000
Cl: 0.250 0.750 0.500
Si: 0.984 0.984 0.000

theoretical density: 7.0 g/cm³
uncorrected formation energy: 0.37 eV per atom
space-group type: Immm (71)
DOS(E_F): 0.476 states/eV/atom